Cr2InSnO6 PBE with a Hubbard U optimized geometry; total moment = 6.99 μB per formula unit; final energy = -6.82 eV/atom; SG = P1 (1)
1.0
5.291 0.000 0.000
2.599 4.713 0.000
0.013 2.894 4.839
Cr In Sn O
2 1 1 6
direct
0.000 0.000 0.000
0.493 0.020 0.470
0.279 0.447 0.848
0.797 0.417 0.382
0.103 0.205 0.195
0.204 0.191 0.684
0.418 0.478 0.204
0.589 0.555 0.663
0.707 0.894 0.202
0.869 0.932 0.683